A plane-wave DFT calculation with PBE was carried out for a geometry-optimized SrP3 structure.

Geometry as extended XYZ:
```
16
Lattice="5.7643 -3.7300 0.0000 5.7643 3.7300 0.0000 -2.0343 0.0000 8.3879" Properties=species:S:1:pos:R:3 pbc="T T T"
Sr -0.0056 0.0000 2.0225
Sr 1.9100 0.0000 6.0742
Sr 7.5843 0.0000 2.3136
Sr 9.4999 0.0000 6.3654
P 3.9994 1.8905 0.1062
P 3.6656 1.7700 3.9927
P 3.0745 0.0000 2.8357
P 5.8288 1.7700 4.3951
P 5.4949 1.8905 8.2816
P 4.5354 0.0000 1.1173
P 4.9590 0.0000 7.2706
P 3.9994 -1.8905 0.1062
P 3.6656 -1.7700 3.9927
P 6.4198 0.0000 5.5522
P 5.8288 -1.7700 4.3951
P 5.4949 -1.8905 8.2816
```

Output
- Formation energy: -0.64 eV per atom
- Calculated volume: 22.5 A^3/atom
- Space-group type: C2/m

---

A plane-wave DFT calculation with PBE was carried out for a geometry-optimized Sr3P structure.

Geometry as extended XYZ:
```
4
Lattice="4.3277 0.0000 0.0000 -2.1638 3.7479 0.0000 0.0000 0.0000 11.1242" Properties=species:S:1:pos:R:3 pbc="T T T"
Sr 0.0000 0.0000 0.0000
Sr 2.1638 1.2493 3.8586
Sr 2.1638 1.2493 7.2656
P 0.0000 0.0000 5.5621
```

Output
- E above lowest polymorph: 95 meV per atom
- Formation energy: -0.52 eV per atom
- Calculated volume: 45.1 A^3/atom
- Space-group type: P-6m2

---

no.,VASP energy (eV per atom),density of states at the Fermi level (states/eV/atom)
1,-5.121,0.02
2,-3.134,0.77